# 1
AcHoGaN3 | PBE | optimized geometry

```
AcHoGaN3
1.0
-2.391 -1.003 2.397
4.908 1.542 5.542
-3.577 6.850 -0.704
N Ho Ac Ga
6 2 2 2
Direct
0.250 0.836 0.492
0.750 0.419 0.145
0.250 0.581 0.855
0.250 0.134 0.862
0.750 0.866 0.138
0.750 0.164 0.508
0.750 0.356 0.850
0.250 0.644 0.150
0.250 0.189 0.199
0.750 0.811 0.801
0.750 0.900 0.389
0.250 0.100 0.611
```

Computed properties:
ΔE_f (raw) = -0.9591 eV/atom
space group = P2_1/m, No. 11
magnetic moment = 0.000 μB per atom
electronic total energy = -7.07 eV/atom

***

# 2
NaAcHoGa | PBE | optimized geometry

```
NaAcHoGa
1.0
-4.385 -0.563 -3.241
-2.308 -4.928 -0.656
-4.914 -1.039 2.194
Ac Na Ho Ga
1 1 1 1
Direct
0.000 0.000 0.000
0.750 0.750 0.750
0.500 0.500 0.500
0.250 0.250 0.250
```

Computed properties:
energy of formation from the pure elements = -0.078 eV/atom
space group = F-43m, No. 216
magnetic moment = 0.000 μB per atom
DOS(E_F) = 3.955 states/eV/f.u.
electronic total energy = -3.34 eV/atom

***

# 3
AcNdHoGa | PBE | optimized geometry

```
AcNdHoGa
1.0
5.535 0.000 0.000
2.768 4.794 0.000
2.768 1.598 4.519
Ga Ho Nd Ac
1 1 1 1
Direct
0.500 0.500 0.500
0.750 0.750 0.750
0.250 0.250 0.250
0.000 0.000 0.000
```

Computed properties:
energy of formation from the pure elements = 0.034 eV/atom
space group = F-43m, No. 216
magnetic moment = 0.000 μB per atom
DOS(E_F) = 6.874 states/eV/f.u.
electronic total energy = -4.09 eV/atom

***

# 4
AcHoGaPb | PBE | optimized geometry

```
AcHoGaPb
1.0
5.509 0.000 0.000
2.754 4.771 0.000
2.754 1.590 4.498
Ac Ho Ga Pb
1 1 1 1
Direct
0.500 0.500 0.500
0.000 0.000 0.000
0.250 0.250 0.250
0.750 0.750 0.750
```

Computed properties:
energy of formation from the pure elements = -0.391 eV/atom
space group = F-43m, No. 216
magnetic moment = 0.000 μB per atom
DOS(E_F) = 2.562 states/eV/f.u.
electronic total energy = -4.25 eV/atom